VASP calculation (PBE+U) on a geometry-optimized K3Sc2MoO6 structure.

It has space group C2/m (No. 12), with a = 5.657 Å, b = 9.798 Å, c = 6.421 Å, α = 90.00°, β = 107.07° and γ = 90.00°. The inequivalent atoms are K at (0.000, 0.000, 0.000), K at (0.000, 0.335, 0.000), Sc at (0.000, 0.167, 0.500), Mo at (0.000, 0.500, 0.500), O at (0.220, 0.000, 0.679) and O at (0.230, 0.330, 0.680).

Its total energy is -162.768 eV for the cell shown. As for the magnetic moment: 6.000 μB/cell.